# Pm4Y4Ho GGA-PBE relaxed
data_Pm4Y4Ho
_space_group_name_H-M_alt 'I 4/m m m'
_space_group_IT_number 139
_space_group_name_Hall '-I 4 2'
_cell_length_a 10.8103
_cell_length_b 10.8103
_cell_length_c 5.0902
_cell_angle_alpha 90.00
_cell_angle_beta 90.00
_cell_angle_gamma 90.00
loop_
_atom_site_label
_atom_site_type_symbol
_atom_site_fract_x
_atom_site_fract_y
_atom_site_fract_z
Pm1 Pm 0.0000 0.3325 0.0000
Y1 Y 0.1658 0.1658 0.5000
Ho1 Ho 0.0000 0.0000 0.0000
# crystal system = tetragonal
# energy of formation from the pure elements = 0.019 eV per atom



# Tb5Dy5Tm GGA-PBE relaxed
data_Tb5Dy5Tm
_space_group_name_H-M_alt 'P -6 m 2'
_space_group_IT_number 187
_space_group_name_Hall 'P -6 2'
_cell_length_a 6.0436
_cell_length_b 6.0436
_cell_length_c 11.4348
_cell_angle_alpha 90.00
_cell_angle_beta 90.00
_cell_angle_gamma 120.00
loop_
_atom_site_label
_atom_site_type_symbol
_atom_site_fract_x
_atom_site_fract_y
_atom_site_fract_z
Tb1 Tb 0.0000 0.0000 0.2362
Tb2 Tb 0.3370 0.1685 0.0000
Dy1 Dy 0.0000 0.0000 0.5000
Dy2 Dy 0.3333 0.6667 0.1829
Dy3 Dy 0.6667 0.3333 0.3434
Tm1 Tm 0.3333 0.6667 0.5000
# crystal system = hexagonal
# energy of formation from the pure elements = 0.336 eV per atom



# La2Si2Tc GGA-PBE relaxed
data_La2Si2Tc
_space_group_name_H-M_alt 'C 1 2/m 1'
_space_group_IT_number 12
_cell_length_a 11.1611
_cell_length_b 4.3673
_cell_length_c 10.6761
_cell_angle_alpha 90.00
_cell_angle_beta 120.43
_cell_angle_gamma 90.00
loop_
_space_group_symop_operation_xyz
'x,y,z'
'-x,-y,-z'
'-x,y,-z'
'x,-y,z'
'x+1/2,y+1/2,z'
'-x+1/2,-y+1/2,-z'
'-x+1/2,y+1/2,-z'
'x+1/2,-y+1/2,z'
loop_
_atom_site_label
_atom_site_type_symbol
_atom_site_fract_x
_atom_site_fract_y
_atom_site_fract_z
La1 La 0.0861 0.0000 0.3883
La2 La 0.1742 0.5000 0.1830
Si1 Si 0.0948 0.0000 0.9381
Si2 Si 0.1147 0.5000 0.6208
Tc1 Tc 0.1556 0.5000 0.8784
# raw formation energy = -3.14 eV per formula unit
# energy above the most stable polymorph in this dataset = 0.0 meV/atom
# crystal system = monoclinic



# MgTi2Zn2P2O10 GGA-PBE relaxed
data_MgTi2Zn2P2O10
_space_group_name_H-M_alt 'P 1'
_space_group_IT_number 1
_cell_length_a 5.4961
_cell_length_b 5.6912
_cell_length_c 7.4951
_cell_angle_alpha 104.58
_cell_angle_beta 107.96
_cell_angle_gamma 99.20
loop_
_space_group_symop_operation_xyz
'x,y,z'
loop_
_atom_site_label
_atom_site_type_symbol
_atom_site_fract_x
_atom_site_fract_y
_atom_site_fract_z
Mg1 Mg 0.0000 0.0000 0.0000
Ti1 Ti 0.4292 0.1345 0.8196
Ti2 Ti 0.4683 0.1639 0.3502
Zn1 Zn 0.1651 0.4956 0.5296
Zn2 Zn 0.5594 0.7740 0.9931
P1 P 0.0936 0.5085 0.0841
P2 P 0.7453 0.7920 0.5391
O1 O 0.0049 0.9252 0.7234
O2 O 0.1208 0.7871 0.1845
O3 O 0.1572 0.3676 0.2432
O4 O 0.2818 0.4795 0.9641
O5 O 0.3506 0.2378 0.5799
O6 O 0.4103 0.0987 0.0783
O7 O 0.4960 0.7900 0.5970
O8 O 0.7226 0.9318 0.3853
O9 O 0.7761 0.5146 0.4625
O10 O 0.8144 0.3537 0.9390
# raw formation energy = -34.90 eV per formula unit
# energy above the most stable polymorph in this dataset = 117.5 meV/atom
# crystal system = triclinic



Q: Number 3 is which compound?
A: La2Si2Tc